A geometry-optimized ZnHgCl2 structure. Source: Alexandria, functional PBE-GGA.

Lattice parameters (Å, degrees): 7.2978 7.2978 6.9336 58.25 58.25 90.00
With the nearest neighbours (Å) after each atom.
Element x y z (fractional)
Cl  0.4855  0.1250  0.2500  2 Zn 2.31
Cl  0.8750  0.7355  0.7500  2 Zn 2.31
Cl  0.3750  0.5145  0.7500  2 Zn 2.31
Zn  0.5000  0.5000  0.0000  4 Cl 2.31
Hg  0.0000  0.0000  0.0000  4 Cl 3.57
Hg  0.7500  0.2500  0.5000  4 Cl 3.57
Cl  0.2645  0.6250  0.2500  2 Zn 2.31
Zn  0.2500  0.7500  0.5000  4 Cl 2.31

Calculated values
**Offset from the most stable computed form**: 66.3 meV/atom
**Energy**: -2.057 eV per atom
**Formation energy from raw total energies**: -0.739 eV/atom
**DOS at the Fermi energy**: 0.00 states/eV per cell
**Mass density**: 4537 kg/m3
**Crystal system**: tetragonal
**Volume**: 246.64 Å³ per cell
**Space-group type**: I-42d
**Total moment**: 0.00 μB/cell

A geometry-optimized ZnHgCl structure. Source: Alexandria, functional PBE-GGA.

Lattice parameters (Å, degrees): 3.7834 3.7834 5.8882 90.00 90.00 120.00
With the nearest neighbours (Å) after each atom.
Element x y z (fractional)
Hg  0.6667  0.3333  0.3964  3 Zn 2.75
Cl  0.0000  0.0000  0.9223  3 Zn 2.60
Zn  0.3333  0.6667  0.6813  3 Cl 2.60, 3 Hg 2.75

Calculated values
**Offset from the most stable computed form**: 30.2 meV/atom
**Energy**: -1.470 eV per atom
**Formation energy from raw total energies**: -0.329 eV/atom
**DOS at the Fermi energy**: 0.72 states/eV per cell
**Mass density**: 6858 kg/m3
**Crystal system**: trigonal
**Volume**: 72.99 Å³ per cell
**Space-group type**: P3m1
**Total moment**: 0.00 μB/cell

A geometry-optimized ZnHgCl2 structure. Source: Alexandria, functional PBE-GGA.

Lattice parameters (Å, degrees): 7.5937 7.5937 7.5937 150.05 150.05 42.87
With the nearest neighbours (Å) after each atom.
Element x y z (fractional)
Hg  0.5000  0.5000  0.0000  4 Cl 2.77
Zn  0.7500  0.2500  0.5000  4 Cl 2.77
Cl  0.2500  0.7500  0.5000  4 Zn 2.77
Cl  0.0000  0.0000  0.0000  4 Hg 2.77

Calculated values
**Offset from the most stable computed form**: 619.6 meV/atom
**Energy**: -1.503 eV per atom
**Formation energy from raw total energies**: -0.186 eV/atom
**DOS at the Fermi energy**: 1.67 states/eV per cell
**Mass density**: 5139 kg/m3
**Crystal system**: tetragonal
**Volume**: 108.86 Å³ per cell
**Space-group type**: I-4m2
**Total moment**: 0.00 μB/cell

A geometry-optimized ZnHg2Cl structure. Source: Alexandria, functional PBE-GGA.

Lattice parameters (Å, degrees): 5.1800 5.1800 5.1800 60.00 60.00 60.00
With the nearest neighbours (Å) after each atom.
Element x y z (fractional)
Cl  0.5000  0.5000  0.5000  4 Hg 3.17, 4 Zn 3.17
Hg  0.0000  0.0000  0.0000  4 Hg 3.17, 4 Zn 3.17
Hg  0.2500  0.2500  0.2500  4 Hg 3.17, 4 Cl 3.17
Zn  0.7500  0.7500  0.7500  4 Hg 3.17, 4 Cl 3.17

Calculated values
**Offset from the most stable computed form**: 275.5 meV/atom
**Energy**: -0.911 eV per atom
**Formation energy from raw total energies**: 0.020 eV/atom
**DOS at the Fermi energy**: 3.52 states/eV per cell
**Mass density**: 8483 kg/m3
**Crystal system**: cubic
**Volume**: 98.28 Å³ per cell
**Space-group type**: F-43m
**Total moment**: 0.00 μB/cell

A geometry-optimized ZnHgCl2 structure. Source: Alexandria, functional PBE-GGA.

Lattice parameters (Å, degrees): 6.3157 6.3155 3.4257 90.61 90.72 119.16
With the nearest neighbours (Å) after each atom.
Element x y z (fractional)
Cl  0.6003  0.3997  0.9994  2 Zn 2.36-2.37
Zn  0.7500  0.2500  0.5000  4 Cl 2.36-2.37
Cl  0.8997  0.1003  0.0006  2 Zn 2.36-2.37
Hg  0.2500  0.7500  0.5000  2 Zn 3.20, 2 Hg 3.43

Calculated values
**Offset from the most stable computed form**: 92.0 meV/atom
**Energy**: -2.031 eV per atom
**Formation energy from raw total energies**: -0.714 eV/atom
**DOS at the Fermi energy**: 0.00 states/eV per cell
**Mass density**: 4690 kg/m3
**Crystal system**: monoclinic
**Volume**: 119.29 Å³ per cell
**Space-group type**: C2/m
**Total moment**: 0.00 μB/cell

A geometry-optimized ZnHg2Cl structure. Source: Alexandria, functional PBE-GGA.

Lattice parameters (Å, degrees): 8.1208 8.1208 6.4792 51.19 51.19 90.00
With the nearest neighbours (Å) after each atom.
Element x y z (fractional)
Cl  0.2500  0.7500  0.5000  2 Zn 3.00, 4 Hg 3.21
Cl  0.5000  0.5000  0.0000  2 Zn 3.00, 4 Hg 3.21
Hg  0.3750  0.3336  0.7500  2 Zn 2.75, 2 Hg 3.08
Zn  0.7500  0.2500  0.5000  4 Hg 2.75, 2 Cl 3.00
Hg  0.8750  0.9164  0.7500  2 Zn 2.75, 2 Hg 3.08
Zn  0.0000  0.0000  0.0000  4 Hg 2.75, 2 Cl 3.00
Hg  0.0836  0.6250  0.2500  2 Zn 2.75, 2 Hg 3.08
Hg  0.6664  0.1250  0.2500  2 Zn 2.75, 2 Hg 3.08

Calculated values
**Offset from the most stable computed form**: 78.0 meV/atom
**Energy**: -1.109 eV per atom
**Formation energy from raw total energies**: -0.177 eV/atom
**DOS at the Fermi energy**: 1.03 states/eV per cell
**Mass density**: 8425 kg/m3
**Crystal system**: tetragonal
**Volume**: 197.91 Å³ per cell
**Space-group type**: I-42d
**Total moment**: 0.00 μB/cell

A geometry-optimized ZnHgCl2 structure. Source: Alexandria, functional PBE-GGA.

Lattice parameters (Å, degrees): 3.9417 7.0496 3.9104 90.00 90.00 90.00
With the nearest neighbours (Å) after each atom.
Element x y z (fractional)
Cl  0.5000  0.5000  0.0000  4 Zn 2.78
Hg  0.5000  0.0000  0.5000  4 Cl 2.78
Zn  0.0000  0.5000  0.5000  4 Cl 2.78
Cl  0.0000  0.0000  0.0000  4 Hg 2.78

Calculated values
**Offset from the most stable computed form**: 625.5 meV/atom
**Energy**: -1.498 eV per atom
**Formation energy from raw total energies**: -0.180 eV/atom
**DOS at the Fermi energy**: 2.75 states/eV per cell
**Mass density**: 5149 kg/m3
**Crystal system**: orthorhombic
**Volume**: 108.66 Å³ per cell
**Space-group type**: Pmmm
**Total moment**: 0.00 μB/cell

A geometry-optimized ZnHgCl2 structure. Source: Alexandria, functional PBE-GGA.

Lattice parameters (Å, degrees): 3.2064 3.2049 9.8415 90.00 90.00 90.00
With the nearest neighbours (Å) after each atom.
Element x y z (fractional)
Hg  0.5000  0.5000  0.2500  4 Hg 3.20-3.21
Zn  0.5000  0.5000  0.7500  8 Cl 2.72
Cl  0.0000  0.0000  0.9027  4 Zn 2.72, 1 Cl 3.01
Cl  0.0000  0.0000  0.5973  4 Zn 2.72, 1 Cl 3.01

Calculated values
**Offset from the most stable computed form**: 373.5 meV/atom
**Energy**: -1.750 eV per atom
**Formation energy from raw total energies**: -0.432 eV/atom
**DOS at the Fermi energy**: 0.26 states/eV per cell
**Mass density**: 5532 kg/m3
**Crystal system**: tetragonal
**Volume**: 101.13 Å³ per cell
**Space-group type**: P4/mmm
**Total moment**: 0.00 μB/cell

A geometry-optimized Zn2HgCl structure. Source: Alexandria, functional PBE-GGA.

Lattice parameters (Å, degrees): 5.0516 5.0516 5.0516 60.00 60.00 60.00
With the nearest neighbours (Å) after each atom.
Element x y z (fractional)
Zn  0.0000  0.0000  0.0000  4 Zn 3.09, 4 Hg 3.09
Hg  0.2500  0.2500  0.2500  4 Zn 3.09, 4 Cl 3.09
Cl  0.5000  0.5000  0.5000  4 Hg 3.09, 4 Zn 3.09
Zn  0.7500  0.7500  0.7500  4 Cl 3.09, 4 Zn 3.09

Calculated values
**Offset from the most stable computed form**: 345.7 meV/atom
**Energy**: -1.047 eV per atom
**Formation energy from raw total energies**: 0.127 eV/atom
**DOS at the Fermi energy**: 2.92 states/eV per cell
**Mass density**: 6683 kg/m3
**Crystal system**: cubic
**Volume**: 91.15 Å³ per cell
**Space-group type**: F-43m
**Total moment**: 0.00 μB/cell

A geometry-optimized ZnHgCl2 structure. Source: Alexandria, functional PBE-GGA.

Lattice parameters (Å, degrees): 10.4820 10.4820 10.4820 19.57 19.57 19.57
With the nearest neighbours (Å) after each atom.
Element x y z (fractional)
Zn  0.5000  0.5000  0.5000  6 Cl 2.48
Hg  0.0000  0.0000  0.0000  6 Hg 3.56, 2 Cl 3.76
Cl  0.8781  0.8781  0.8781  3 Zn 2.48
Cl  0.1219  0.1219  0.1219  3 Zn 2.48

Calculated values
**Offset from the most stable computed form**: 24.2 meV/atom
**Energy**: -2.099 eV per atom
**Formation energy from raw total energies**: -0.782 eV/atom
**DOS at the Fermi energy**: 0.00 states/eV per cell
**Mass density**: 4949 kg/m3
**Crystal system**: trigonal
**Volume**: 113.04 Å³ per cell
**Space-group type**: R-3m
**Total moment**: 0.00 μB/cell

A geometry-optimized ZnHgCl2 structure. Source: Alexandria, functional PBE-GGA.

Lattice parameters (Å, degrees): 7.1075 7.1075 6.2363 60.34 60.34 28.00
With the nearest neighbours (Å) after each atom.
Element x y z (fractional)
Cl  0.7280  0.7280  0.9424  2 Zn 2.42
Cl  0.9130  0.9130  0.1197  2 Zn 2.39
Zn  0.3467  0.3467  0.9608  4 Cl 2.39-2.42
Hg  0.5123  0.5123  0.4770  1 Zn 2.70

Calculated values
**Offset from the most stable computed form**: 76.8 meV/atom
**Energy**: -2.046 eV per atom
**Formation energy from raw total energies**: -0.729 eV/atom
**DOS at the Fermi energy**: 0.00 states/eV per cell
**Mass density**: 4398 kg/m3
**Crystal system**: monoclinic
**Volume**: 127.21 Å³ per cell
**Space-group type**: Cm
**Total moment**: 0.00 μB/cell

A geometry-optimized ZnHgCl2 structure. Source: Alexandria, functional PBE-GGA.

Lattice parameters (Å, degrees): 5.9568 5.9568 5.9568 146.30 109.69 80.28
With the nearest neighbours (Å) after each atom.
Element x y z (fractional)
Zn  0.2470  0.7470  0.5000  2 Cl 2.35
Cl  0.0719  0.0719  0.0000  2 Zn 2.35
Cl  0.7050  0.2050  0.5000  2 Hg 2.71
Hg  0.4761  0.4761  0.0000  2 Cl 2.71, 2 Zn 2.71

Calculated values
**Offset from the most stable computed form**: 292.6 meV/atom
**Energy**: -1.830 eV per atom
**Formation energy from raw total energies**: -0.513 eV/atom
**Mass density**: 5185 kg/m3
**Crystal system**: orthorhombic
**Volume**: 107.89 Å³ per cell
**Space-group type**: Imm2
**Total moment**: 0.00 μB/cell